Record 1
ZrHg2Ir: optimized geometry, PBE.

It has space group P4/mmm (No. 123), with a = 3.234 Å, b = 3.234 Å, c = 7.415 Å, α = 90.00°, β = 90.00° and γ = 90.00°. The asymmetric unit holds Zr at (0.000, 0.000, 0.000), Hg at (0.500, 0.500, 0.271) and Ir at (0.000, 0.000, 0.500).

The formation energy comes out at 171 meV/atom. Its energy above the most stable polymorph in this dataset is 0.358 eV per atom.



Record 2
HgPb2W: optimized geometry, PBE.

It has space group Cmmm (No. 65), with a = 3.698 Å, b = 4.966 Å, c = 11.332 Å, α = 90.00°, β = 90.00° and γ = 90.00°. The asymmetric unit holds Hg at (0.000, 0.000, 0.000), Pb at (0.000, 0.500, 0.294) and W at (0.000, 0.000, 0.500).

The formation energy comes out at 585 meV/atom.



Record 3
KPPt3Pb: optimized geometry, PBE.

It has space group Cmcm (No. 63), with a = 7.233 Å, b = 13.780 Å, c = 6.132 Å, α = 90.00°, β = 90.00° and γ = 90.00°. The asymmetric unit holds K at (0.000, 0.241, 0.250), P at (0.000, 0.073, 0.750), Pt at (0.000, 0.232, 0.750), Pt at (0.198, 0.000, 0.000) and Pb at (0.000, 0.429, 0.750).

The formation energy comes out at -310 meV/atom.



Record 4
ZnFePt: optimized geometry, PBE.

It has space group I4mm (No. 107), with a = 2.793 Å, b = 2.793 Å, c = 10.667 Å, α = 90.00°, β = 90.00° and γ = 90.00°. The asymmetric unit holds Zn at (0.000, 0.000, 0.000), Fe at (0.000, 0.000, 0.662) and Pt at (0.000, 0.000, 0.327).

The formation energy comes out at -227 meV/atom.



Record 5
LiZrCd2: optimized geometry, PBE.

It has space group I-42d (No. 122), with a = 7.552 Å, b = 7.552 Å, c = 6.019 Å, α = 90.00°, β = 90.00° and γ = 90.00°. The asymmetric unit holds Li at (0.000, 0.000, 0.000), Zr at (0.000, 0.000, 0.500) and Cd at (0.213, 0.250, 0.125).

The formation energy comes out at 220 meV/atom. Its energy above the most stable polymorph in this dataset is 0.391 eV per atom.



Record 6
Tl5In5Bi2: optimized geometry, PBE.

It has space group C2/m (No. 12), with a = 13.583 Å, b = 5.082 Å, c = 11.372 Å, α = 90.00°, β = 114.11° and γ = 90.00°. The asymmetric unit holds Tl at (0.000, 0.000, 0.000), Tl at (0.087, 0.000, 0.755), Tl at (0.161, 0.000, 0.496), In at (0.000, 0.500, 0.500), In at (0.166, 0.500, 0.993), In at (0.249, 0.000, 0.246) and Bi at (0.090, 0.500, 0.246).

The formation energy comes out at 5 meV/atom.



Record 7
MgBr2Cl: optimized geometry, PBE.

It has space group Fm-3m (No. 225), with a = 7.223 Å, b = 7.223 Å, c = 7.223 Å, α = 90.00°, β = 90.00° and γ = 90.00°. The asymmetric unit holds Mg at (0.000, 0.000, 0.000), Br at (0.250, 0.250, 0.250) and Cl at (0.000, 0.000, 0.500).

Its energy above the most stable polymorph in this dataset is 0.594 eV per atom. The uncorrected formation energy comes out at -0.40 eV per atom.



Record 8
Nd2CdCu9: optimized geometry, PBE.

It has space group R-3m (No. 166, hexagonal axes), with a = 5.1546 Å, b = 5.1546 Å, c = 25.1929 Å, α = 90.00°, β = 90.00° and γ = 120.00°. The asymmetric unit holds Nd at (0.0000, 0.0000, 0.1351), Cd at (0.0000, 0.0000, 0.0000), Cu at (0.0000, 0.0000, 0.3326), Cu at (0.0000, 0.0000, 0.5000) and Cu at (0.0001, 0.5001, 0.0798).

The formation energy comes out at -55 meV/atom.



Record 9
CsIrRu3: optimized geometry, PBE.

It has space group Pm-3m (No. 221), with a = 4.813 Å, b = 4.813 Å, c = 4.813 Å, α = 90.00°, β = 90.00° and γ = 90.00°. The asymmetric unit holds Cs at (0.000, 0.000, 0.000), Ir at (0.500, 0.500, 0.500) and Ru at (0.000, 0.000, 0.500).

The formation energy comes out at 3291 meV/atom. Its energy above the most stable polymorph in this dataset is 1.624 eV per atom.



Record 10
Sr2Al6ZnPd: optimized geometry, PBE.

It has space group P-1 (No. 2), with a = 6.616 Å, b = 6.638 Å, c = 6.965 Å, α = 89.80°, β = 61.76° and γ = 60.13°. The asymmetric unit holds Sr at (0.119, 0.191, 0.072), Al at (0.007, 0.320, 0.624), Al at (0.300, 0.830, 0.378), Al at (0.450, 0.371, 0.377), Zn at (0.500, 0.500, 0.000) and Pd at (0.500, 0.000, 0.500).

The formation energy comes out at -321 meV/atom.



Record 11
SrTmRuO6: optimized geometry, PBE.

It has space group P-31c (No. 163), with a = 5.5047 Å, b = 5.5047 Å, c = 10.4874 Å, α = 90.00°, β = 90.00° and γ = 120.00°. The asymmetric unit holds Sr at (0.0000, 0.0000, 0.0000), Tm at (0.3333, 0.6667, 0.2500), Ru at (0.3333, 0.6667, 0.7500) and O at (0.0398, 0.3880, 0.6462).

The uncorrected formation energy comes out at -1.99 eV per atom.



Record 12
Ce2MgSnN5: optimized geometry, PBE.

It has space group Cmc2_1 (No. 36), with a = 3.476 Å, b = 14.119 Å, c = 9.921 Å, α = 90.00°, β = 90.00° and γ = 90.00°. The asymmetric unit holds Ce at (0.000, 0.131, 0.000), Ce at (0.000, 0.138, 0.571), Mg at (0.000, 0.224, 0.289), Sn at (0.000, 0.484, 0.775), N at (0.000, 0.079, 0.333), N at (0.000, 0.288, 0.955), N at (0.000, 0.295, 0.636), N at (0.000, 0.370, 0.314) and N at (0.000, 0.497, 0.064).

The uncorrected formation energy comes out at -0.64 eV per atom.



Number 1: volume 78 Å³ per cell, N(E_F) 3.07 states/eV/cell. Number 2: volume 208 Å³ per cell, N(E_F) 2.58 states/eV/cell. Number 3: volume 611 Å³ per cell, N(E_F) 4.09 states/eV/cell. Number 4: volume 83 Å³ per cell, N(E_F) 3.53 states/eV/cell. Number 5: volume 343 Å³ per cell, N(E_F) 7.23 states/eV/cell. Number 6: volume 717 Å³ per cell, N(E_F) 9.14 states/eV/cell. Number 7: volume 377 Å³ per cell, N(E_F) 15.10 states/eV/cell. Number 8: volume 580 Å³ per cell, N(E_F) 16.93 states/eV/cell. Number 9: volume 111 Å³ per cell, N(E_F) 8.26 states/eV/cell. Number 10: volume 223 Å³ per cell, N(E_F) 2.83 states/eV/cell. Number 11: volume 275 Å³ per cell, N(E_F) 8.65 states/eV/cell. Number 12: volume 487 Å³ per cell, N(E_F) 23.60 states/eV/cell.